Entry from the Alexandria database: an optimized crystal structure of Si3HCl (GGA-PBE).

Structure (extended XYZ):
```
5
Lattice="4.215 0.000 0.000 0.000 4.215 0.000 0.000 0.000 4.215" Properties=species:S:1:pos:R:3 pbc="T T T"
Si 2.108 0.000 0.000
Si 0.000 2.108 0.000
Cl 2.108 2.108 2.108
H 0.000 0.000 0.000
Si 0.000 0.000 2.108
```

Output
Polymorph energy (0 for the lowest one) (meV per atom): 0.0
Magnetization (Bohr magnetons per cell): 0.00
SG: No. 221
Volume (Å³ per cell): 74.9

---

Entry from the Alexandria database: an optimized crystal structure of SrIr3O (GGA-PBE).

Structure (extended XYZ):
```
5
Lattice="5.108 0.000 0.000 0.000 5.108 0.000 0.000 0.000 5.108" Properties=species:S:1:pos:R:3 pbc="T T T"
O 2.554 2.554 2.554
Sr 0.000 0.000 0.000
Ir 0.000 2.554 0.000
Ir 2.554 0.000 0.000
Ir 0.000 0.000 2.554
```

Output
Polymorph energy (0 for the lowest one) (meV per atom): 2744.1
Magnetization (Bohr magnetons per cell): 4.94
SG: No. 221
Volume (Å³ per cell): 133.2

---

Entry from the Alexandria database: an optimized crystal structure of Ba4Sr3Ca2 (GGA-PBE).

Structure (extended XYZ):
```
9
Lattice="-0.444 -2.245 6.398 -3.374 -10.161 -0.191 4.466 -9.388 0.624" Properties=species:S:1:pos:R:3 pbc="T T T"
Ca 0.510 -17.757 1.022
Ba 1.371 -15.730 5.401
Ba -0.723 -6.065 1.430
Ca 0.138 -4.037 5.810
Ba -0.778 -13.923 2.278
Sr -1.995 -10.131 3.524
Sr 2.643 -11.663 3.308
Ba 1.427 -7.872 4.554
Sr 0.546 -9.775 0.217
```

Output
Formation energy from the elements (eV/atom): 0.02
Magnetization (Bohr magnetons per cell): 0.00
SG: No. 12
Volume (Å³ per cell): 493.8

---

Entry from the Alexandria database: an optimized crystal structure of Ho2ErTh3Se6 (GGA-PBE).

Structure (extended XYZ):
```
12
Lattice="6.894 0.014 0.005 -3.433 5.978 0.005 -1.149 -1.990 7.226" Properties=species:S:1:pos:R:3 pbc="T T T"
Th 4.592 0.017 3.618
Ho 3.450 2.003 0.005
Se -0.001 -0.002 5.557
Se 2.313 4.004 1.679
Se 3.451 2.014 5.568
Se -1.140 1.988 1.668
Th -2.280 3.986 3.618
Se 0.020 3.996 5.568
Th 1.156 2.001 3.618
Er 0.000 0.000 0.000
Se 2.292 0.006 1.668
Ho 0.011 3.989 0.005
```

Output
Raw total energy (eV/atom): -6.364
Magnetization (Bohr magnetons per cell): 0.00
SG: No. 12
Volume (Å³ per cell): 298.3

---

Entry from the Alexandria database: an optimized crystal structure of SrOsOF2 (GGA-PBE).

Structure (extended XYZ):
```
5
Lattice="-2.225 3.805 -1.376 -1.992 0.337 4.152 2.899 2.135 1.217" Properties=species:S:1:pos:R:3 pbc="T T T"
F -1.112 1.903 -0.688
F -0.996 0.168 2.076
Sr -0.659 3.139 1.997
O 1.449 1.068 0.609
Os 0.000 0.000 0.000
```

Output
Polymorph energy (0 for the lowest one) (meV per atom): 0.0
Magnetization (Bohr magnetons per cell): 0.08
SG: No. 123
Volume (Å³ per cell): 81.0

---

Entry from the Alexandria database: an optimized crystal structure of Al2InSb (GGA-PBE).

Structure (extended XYZ):
```
4
Lattice="-2.003 4.105 0.927 -3.633 -1.096 -2.997 -2.011 -1.670 3.048" Properties=species:S:1:pos:R:3 pbc="T T T"
In -2.007 1.217 1.988
Al 0.000 0.000 0.000
Sb -2.822 -1.383 0.026
Al -2.818 1.505 -1.035
```

Output
Polymorph energy (0 for the lowest one) (meV per atom): 87.4
Magnetization (Bohr magnetons per cell): 0.00
SG: No. 47
Volume (Å³ per cell): 90.5

---

Entry from the Alexandria database: an optimized crystal structure of TbSm2Pa2Rh5 (GGA-PBE).

Structure (extended XYZ):
```
20
Lattice="3.624 0.000 0.000 0.000 10.931 0.000 0.000 0.000 10.931" Properties=species:S:1:pos:R:3 pbc="T T T"
Rh 1.812 7.711 4.911
Rh 1.812 0.554 8.686
Rh 1.812 8.686 10.377
Rh 1.812 2.245 0.554
Sm 0.000 9.053 7.344
Sm 0.000 7.344 1.879
Rh 1.812 10.377 2.245
Sm 0.000 1.879 3.587
Pa 0.000 9.442 3.977
Rh 1.812 0.000 5.466
Rh 1.812 3.220 6.020
Tb 0.000 0.000 0.000
Pa 0.000 1.489 6.954
Tb 0.000 5.466 5.466
Rh 1.812 4.911 3.220
Pa 0.000 3.977 1.489
Sm 0.000 3.587 9.053
Pa 0.000 6.954 9.442
Rh 1.812 5.466 0.000
Rh 1.812 6.020 7.711
```

Output
Formation energy from the elements (eV/atom): -0.66
Magnetization (Bohr magnetons per cell): 0.00
SG: No. 127
Volume (Å³ per cell): 433.0

---

Entry from the Alexandria database: an optimized crystal structure of La2Hg2I (GGA-PBE).

Structure (extended XYZ):
```
5
Lattice="-1.839 1.086 4.404 -2.528 -3.368 2.495 4.849 -3.112 5.512" Properties=species:S:1:pos:R:3 pbc="T T T"
La 0.583 -4.980 8.271
Hg 0.169 -3.522 5.019
Hg 0.313 -1.872 7.392
La -0.101 -0.414 4.140
I -1.264 -1.684 1.248
```

Output
Polymorph energy (0 for the lowest one) (meV per atom): 0.0
Magnetization (Bohr magnetons per cell): 0.00
SG: No. 166
Volume (Å³ per cell): 154.7

---

Entry from the Alexandria database: an optimized crystal structure of Sr6Ag3Hg (GGA-PBE).

Structure (extended XYZ):
```
20
Lattice="-4.391 1.239 0.009 -1.801 -6.302 -10.270 -2.336 -8.369 11.819" Properties=species:S:1:pos:R:3 pbc="T T T"
Sr -4.239 -10.856 4.810
Sr -4.042 -10.104 -2.423
Sr -4.486 -3.329 3.982
Ag -5.912 -8.399 6.434
Ag -2.751 -5.566 2.401
Sr -5.601 -7.267 2.302
Ag -2.616 -5.033 -4.875
Sr -1.859 -2.395 0.742
Hg -5.104 -5.544 7.718
Sr -4.290 -2.577 -3.251
Sr -3.131 -6.935 5.432
Hg -3.425 -7.888 -6.159
Sr -2.927 -6.165 -0.743
Ag -3.503 0.189 -0.480
Sr -3.492 -8.242 9.054
Sr -5.398 -6.497 -3.874
Ag -5.025 -13.622 2.039
Sr -6.669 -11.038 0.816
Ag -5.777 -7.867 -0.843
Sr -5.036 -5.190 -7.496
```

Output
Formation energy from the elements (eV/atom): -0.26
Magnetization (Bohr magnetons per cell): 0.00
SG: No. 11
Volume (Å³ per cell): 760.6

---

Entry from the Alexandria database: an optimized crystal structure of TlVPb2 (GGA-PBE).

Structure (extended XYZ):
```
4
Lattice="-2.649 1.745 -1.055 -0.681 0.193 -3.267 -7.862 -9.103 -0.611" Properties=species:S:1:pos:R:3 pbc="T T T"
V 0.000 0.000 0.000
Pb -6.223 -6.737 -0.812
Tl -5.596 -3.583 -2.466
Pb -4.968 -0.428 -4.121
```

Output
Polymorph energy (0 for the lowest one) (meV per atom): 117.5
Formation energy from the elements (eV/atom): 0.61
Magnetization (Bohr magnetons per cell): 3.47
SG: No. 166
Volume (Å³ per cell): 115.0

---

Entry from the Alexandria database: an optimized crystal structure of LuIrRh2 (GGA-PBE).

Structure (extended XYZ):
```
4
Lattice="3.950 0.000 0.000 0.000 4.035 0.000 0.000 0.000 4.035" Properties=species:S:1:pos:R:3 pbc="T T T"
Ir 1.975 0.000 0.000
Lu 1.975 2.018 2.018
Rh 0.000 0.000 2.018
Rh 0.000 2.018 0.000
```

Output
Polymorph energy (0 for the lowest one) (meV per atom): 0.0
Formation energy from the elements (eV/atom): -0.57
Magnetization (Bohr magnetons per cell): 0.00
SG: No. 123
Volume (Å³ per cell): 64.3

---

Entry from the Alexandria database: an optimized crystal structure of PuHf4Se8 (GGA-PBE).

Structure (extended XYZ):
```
13
Lattice="7.930 0.000 0.000 3.965 6.868 0.000 3.965 2.289 6.475" Properties=species:S:1:pos:R:3 pbc="T T T"
Se 6.214 5.569 3.938
Se 5.938 1.150 0.813
Se 3.965 2.289 4.036
Hf 7.930 4.578 5.891
Se 7.930 4.578 1.136
Hf 7.930 7.080 2.353
Se 3.965 4.568 0.813
Pu 11.895 6.868 4.856
Hf 5.764 3.328 2.353
Se 9.646 5.569 3.938
Se 1.991 1.150 0.813
Se 7.930 2.597 3.938
Hf 10.096 3.328 2.353
```

Output
Raw total energy (eV/atom): -7.510
Magnetization (Bohr magnetons per cell): 5.10
SG: No. 216
Volume (Å³ per cell): 352.6

---

Entry from the Alexandria database: an optimized crystal structure of CaAsP2 (GGA-PBE).

Structure (extended XYZ):
```
4
Lattice="-1.726 0.292 2.820 -0.084 -3.209 -0.842 6.310 -1.210 3.986" Properties=species:S:1:pos:R:3 pbc="T T T"
P 0.112 -0.021 0.071
Ca 3.828 -2.366 3.979
As 0.673 -1.761 1.986
P 3.043 -0.583 1.922
```

Output
Formation energy from the elements (eV/atom): 0.08
Magnetization (Bohr magnetons per cell): 0.00
SG: No. 65
Volume (Å³ per cell): 79.8

---

Entry from the Alexandria database: an optimized crystal structure of TcSbP2 (GGA-PBE).

Structure (extended XYZ):
```
8
Lattice="5.790 0.000 0.000 0.000 5.790 0.000 2.895 2.895 5.429" Properties=species:S:1:pos:R:3 pbc="T T T"
P 7.237 6.910 4.071
Sb 5.790 2.895 2.714
P 4.342 4.670 4.071
Tc 2.895 2.895 0.000
P 1.775 4.342 1.357
P 4.015 1.447 1.357
Tc 2.895 5.790 2.714
Sb 0.000 0.000 0.000
```

Output
Raw total energy (eV/atom): -6.207
Magnetization (Bohr magnetons per cell): 0.00
SG: No. 122
Volume (Å³ per cell): 182.0

---

Entry from the Alexandria database: an optimized crystal structure of Na3ZrSn (GGA-PBE).

Structure (extended XYZ):
```
5
Lattice="5.812 0.000 0.000 0.000 5.812 0.000 0.000 0.000 5.812" Properties=species:S:1:pos:R:3 pbc="T T T"
Na 0.000 2.906 0.000
Na 2.906 0.000 0.000
Sn 2.906 2.906 2.906
Zr 0.000 0.000 0.000
Na 0.000 0.000 2.906
```

Output
Polymorph energy (0 for the lowest one) (meV per atom): 361.4
Formation energy from the elements (eV/atom): 1.24
Magnetization (Bohr magnetons per cell): 3.05
SG: No. 221
Volume (Å³ per cell): 196.4

---

Entry from the Alexandria database: an optimized crystal structure of CdHgPb (GGA-PBE).

Structure (extended XYZ):
```
3
Lattice="-5.022 0.084 -1.136 1.608 -2.121 4.408 -0.312 3.110 1.610" Properties=species:S:1:pos:R:3 pbc="T T T"
Pb -0.810 0.686 3.633
Cd -0.054 0.534 0.276
Hg -2.863 -0.147 0.973
```

Output
Formation energy from the elements (eV/atom): 0.06
Magnetization (Bohr magnetons per cell): 0.00
SG: No. 156
Volume (Å³ per cell): 80.8

---

Entry from the Alexandria database: an optimized crystal structure of Ge7H8N2O15 (GGA-PBE).

Structure (extended XYZ):
```
64
Lattice="7.413 0.000 0.000 -3.707 6.653 -0.006 0.000 -3.721 14.976" Properties=species:S:1:pos:R:3 pbc="T T T"
Ge -0.766 5.508 2.194
O 3.111 -1.427 12.503
O 2.144 1.214 13.261
O 3.512 -1.578 9.243
N 6.476 -0.970 6.423
H 1.556 -2.305 13.267
O 3.665 2.786 3.410
H -2.519 3.618 7.578
O 3.748 0.925 10.897
Ge 3.502 0.316 12.549
O -0.195 2.650 13.214
O 5.667 -2.039 13.919
Ge -1.853 3.327 -0.003
H 6.226 -0.685 7.391
O -0.071 -0.012 14.473
H 2.584 4.670 6.298
O -1.960 4.972 1.050
O 2.087 -0.930 3.744
O 0.071 1.848 6.985
Ge -0.356 2.826 5.613
H -0.074 -2.570 13.759
Ge 1.853 1.466 7.485
H 3.633 3.643 8.698
Ge 3.350 1.967 1.868
Ge 0.205 2.616 2.420
Ge 3.911 2.177 5.062
O -0.596 2.499 9.954
Ge 4.063 0.106 9.356
H 1.187 -2.546 14.879
H -2.584 2.810 13.785
Ge 4.473 -2.575 12.775
H -2.151 3.377 9.190
O 3.901 0.282 1.755
N 2.770 5.763 1.059
O 1.562 1.718 1.708
N 0.937 -2.831 13.910
O -2.144 3.075 5.774
O 0.596 4.360 2.466
O 2.490 2.546 6.012
H 2.519 5.478 0.090
H 0.074 -0.710 6.271
O 0.041 0.147 11.560
O 3.635 1.084 7.984
O 1.217 0.387 8.957
H 3.780 5.503 1.210
Ge 2.940 -0.715 5.288
O 0.195 4.511 5.726
N -2.770 3.903 8.547
Ge 0.356 0.966 13.101
O -1.217 2.247 1.470
O 5.326 -2.790 11.232
Ge 0.766 3.647 9.682
Ge -0.205 0.756 9.908
H 2.151 5.238 1.702
O 1.746 -0.179 6.431
O 5.851 -0.142 9.196
O 4.302 0.433 5.015
O 1.960 3.111 8.538
O 3.778 2.945 0.496
H 1.123 -1.738 8.672
O 4.923 0.685 13.500
H 6.290 0.123 1.184
O -0.041 2.007 4.072
H 5.857 -0.445 5.779
```

Output
Raw total energy (eV/atom): -5.977
Magnetization (Bohr magnetons per cell): 0.00
SG: No. 15
Volume (Å³ per cell): 738.4

---

Entry from the Alexandria database: an optimized crystal structure of Ir2AuBr (GGA-PBE).

Structure (extended XYZ):
```
4
Lattice="6.019 0.081 0.295 5.320 2.816 0.295 2.272 0.581 4.553" Properties=species:S:1:pos:R:3 pbc="T T T"
Ir 10.077 2.575 4.458
Br 3.768 0.963 1.036
Ir 2.326 0.594 4.293
Au 6.517 1.665 2.481
```

Output
Polymorph energy (0 for the lowest one) (meV per atom): 367.6
Magnetization (Bohr magnetons per cell): 0.00
SG: No. 8
Volume (Å³ per cell): 73.3